Record 1
# PBE K3Sr2IO6, relaxed
# **DFT total energy**: -4.80 eV per atom
# **Formation energy from raw total energies**: -1.6388 eV per atom
data_K3Sr2IO6
_cell_length_a 6.2665
_cell_length_b 10.8566
_cell_length_c 6.6036
_cell_angle_alpha 90.00
_cell_angle_beta 108.57
_cell_angle_gamma 90.00
_symmetry_space_group_name_H-M 'C 1 2/m 1'
_symmetry_Int_Tables_number 12
_symmetry_space_group_name_Hall '-C 2y'
loop_
_atom_site_label
_atom_site_type_symbol
_atom_site_fract_x
_atom_site_fract_y
_atom_site_fract_z
K1 K 0.0000 0.0000 0.0000
K2 K 0.0000 0.3377 0.0000
Sr1 Sr 0.0000 0.1669 0.5000
I1 I 0.0000 0.5000 0.5000
O1 O 0.2094 0.3556 0.6947
O2 O 0.2245 0.5000 0.3077

***

Record 2
# PBE K2Sr2IO6, relaxed
# **DFT total energy**: -4.98 eV per atom
# **Formation energy from raw total energies**: -1.6245 eV per atom
data_K2Sr2IO6
_cell_length_a 6.2845
_cell_length_b 10.5690
_cell_length_c 6.6625
_cell_angle_alpha 90.00
_cell_angle_beta 105.54
_cell_angle_gamma 90.00
_symmetry_space_group_name_H-M 'C 1 2/m 1'
_symmetry_Int_Tables_number 12
_symmetry_space_group_name_Hall '-C 2y'
loop_
_atom_site_label
_atom_site_type_symbol
_atom_site_fract_x
_atom_site_fract_y
_atom_site_fract_z
K1 K 0.0000 0.1587 0.0000
Sr1 Sr 0.0000 0.3372 0.5000
I1 I 0.0000 0.0000 0.5000
O1 O 0.1864 0.1405 0.6753
O2 O 0.2136 0.0000 0.3168

***

Record 3
# PBE KSrIO2, relaxed
# **DFT total energy**: -3.24 eV per atom
# **Formation energy from raw total energies**: -0.3881 eV per atom
data_KSrIO2
_cell_length_a 4.8054
_cell_length_b 4.8054
_cell_length_c 6.1058
_cell_angle_alpha 90.00
_cell_angle_beta 90.00
_cell_angle_gamma 90.00
_symmetry_space_group_name_H-M 'P 4/m m m'
_symmetry_Int_Tables_number 123
_symmetry_space_group_name_Hall '-P 4 2'
loop_
_atom_site_label
_atom_site_type_symbol
_atom_site_fract_x
_atom_site_fract_y
_atom_site_fract_z
K1 K 0.0000 0.0000 0.0000
Sr1 Sr 0.5000 0.5000 0.5000
I1 I 0.0000 0.0000 0.5000
O1 O 0.0000 0.5000 0.0000

***

Record 4
# PBE KTaI2O, relaxed
# **DFT total energy**: -3.11 eV per atom
# **Formation energy from raw total energies**: 1.0901 eV per atom
data_KTaI2O
_cell_length_a 6.0530
_cell_length_b 6.0530
_cell_length_c 4.0696
_cell_angle_alpha 90.00
_cell_angle_beta 90.00
_cell_angle_gamma 90.00
_symmetry_space_group_name_H-M 'P 4/m m m'
_symmetry_Int_Tables_number 123
_symmetry_space_group_name_Hall '-P 4 2'
loop_
_atom_site_label
_atom_site_type_symbol
_atom_site_fract_x
_atom_site_fract_y
_atom_site_fract_z
K1 K 0.0000 0.0000 0.0000
Ta1 Ta 0.5000 0.5000 0.5000
I1 I 0.0000 0.5000 0.0000
O1 O 0.0000 0.0000 0.5000

***

Record 5
# PBE KTaI2O, relaxed
# **DFT total energy**: -5.25 eV per atom
# **Formation energy from raw total energies**: -1.0492 eV per atom
data_KTaI2O
_cell_length_a 5.9805
_cell_length_b 5.9805
_cell_length_c 3.9582
_cell_angle_alpha 90.00
_cell_angle_beta 90.00
_cell_angle_gamma 90.00
_symmetry_space_group_name_H-M 'P 4/m m m'
_symmetry_Int_Tables_number 123
_symmetry_space_group_name_Hall '-P 4 2'
loop_
_atom_site_label
_atom_site_type_symbol
_atom_site_fract_x
_atom_site_fract_y
_atom_site_fract_z
K1 K 0.0000 0.0000 0.0000
Ta1 Ta 0.5000 0.5000 0.5000
I1 I 0.0000 0.5000 0.5000
O1 O 0.5000 0.5000 0.0000

***

Record 6
# PBE KTaIO2, relaxed
# **DFT total energy**: -3.47 eV per atom
# **Formation energy from raw total energies**: 1.4146 eV per atom
data_KTaIO2
_cell_length_a 4.3809
_cell_length_b 4.3809
_cell_length_c 5.7088
_cell_angle_alpha 90.00
_cell_angle_beta 90.00
_cell_angle_gamma 90.00
_symmetry_space_group_name_H-M 'P 4/m m m'
_symmetry_Int_Tables_number 123
_symmetry_space_group_name_Hall '-P 4 2'
loop_
_atom_site_label
_atom_site_type_symbol
_atom_site_fract_x
_atom_site_fract_y
_atom_site_fract_z
K1 K 0.0000 0.0000 0.0000
Ta1 Ta 0.5000 0.5000 0.5000
I1 I 0.0000 0.0000 0.5000
O1 O 0.0000 0.5000 0.0000

***

Record 7
# PBE K2TaIO6, relaxed
# **DFT total energy**: -6.18 eV per atom
# **Formation energy from raw total energies**: -1.6486 eV per atom
data_K2TaIO6
_cell_length_a 8.2371
_cell_length_b 8.2371
_cell_length_c 8.2371
_cell_angle_alpha 90.00
_cell_angle_beta 90.00
_cell_angle_gamma 90.00
_symmetry_space_group_name_H-M 'F m -3 m'
_symmetry_Int_Tables_number 225
_symmetry_space_group_name_Hall '-F 4 2 3'
loop_
_atom_site_label
_atom_site_type_symbol
_atom_site_fract_x
_atom_site_fract_y
_atom_site_fract_z
K1 K 0.2500 0.2500 0.2500
Ta1 Ta 0.0000 0.0000 0.0000
I1 I 0.0000 0.0000 0.5000
O1 O 0.0000 0.0000 0.2436

***

Record 8
# PBE KTaIO6, relaxed
# **DFT total energy**: -6.45 eV per atom
# **Formation energy from raw total energies**: -1.5301 eV per atom
data_KTaIO6
_cell_length_a 5.4399
_cell_length_b 5.4399
_cell_length_c 5.9813
_cell_angle_alpha 90.00
_cell_angle_beta 90.00
_cell_angle_gamma 120.00
_symmetry_space_group_name_H-M 'P 3 1 2'
_symmetry_Int_Tables_number 149
_symmetry_space_group_name_Hall 'P 3 2'
loop_
_atom_site_label
_atom_site_type_symbol
_atom_site_fract_x
_atom_site_fract_y
_atom_site_fract_z
K1 K 0.0000 0.0000 0.0000
Ta1 Ta 0.3333 0.6667 0.5000
I1 I 0.6667 0.3333 0.5000
O1 O 0.4003 0.0008 0.6902